1.
A relaxed MnZnIr2 crystal, computed with GGA-PBE.

Cell: 5.093 5.093 5.093 Å, 145.90 130.28 61.67°
Fractional positions:
Mn 0.500 0.500 0.000
Zn 0.255 0.755 0.500
Ir 0.004 0.004 0.000
Ir 0.740 0.240 0.500

Its space-group type is Imm2. As for the total energy: -7.0812 eV/atom. The value obtained for the formation energy is -0.9 kcal/mol of atoms.

---

2.
A relaxed OsCl crystal, computed with GGA-PBE.

Cell: 4.151 4.151 13.360 Å, 90.00 90.00 120.00°
Fractional positions:
Os 0.333 0.667 0.750
Cl 0.333 0.667 0.119
Os 0.000 0.000 0.750
Cl 0.667 0.333 0.881
Cl 0.333 0.667 0.381
Os 0.000 0.000 0.250
Cl 0.667 0.333 0.619
Os 0.667 0.333 0.250

Its space-group type is P6_3/mmc. The value obtained for the polymorph energy (0 for the lowest one) is 1094 meV per atom. As for the total energy: -5.3202 eV/atom. The value obtained for the energy relative to the elements, uncorrected is 1.218 eV/atom.

---

3.
A relaxed PmNdTh14 crystal, computed with GGA-PBE.

Cell: 7.197 7.197 11.638 Å, 90.00 90.00 120.07°
Fractional positions:
Th 0.375 0.125 0.248
Nd 0.041 0.959 0.500
Th 0.874 0.126 0.752
Th 0.708 0.292 0.000
Th 0.375 0.125 0.752
Th 0.875 0.625 0.752
Th 0.208 0.792 0.000
Th 0.708 0.792 0.000
Pm 0.541 0.459 0.500
Th 0.875 0.625 0.248
Th 0.874 0.126 0.248
Th 0.543 0.957 0.500
Th 0.208 0.292 0.000
Th 0.043 0.457 0.500
Th 0.374 0.626 0.249
Th 0.374 0.626 0.751

Its space-group type is Amm2. As for the total energy: -7.0457 eV/atom. The value obtained for the formation energy is 1.0 kcal/mol of atoms.

---

4.
A relaxed Ba2CuAgO4 crystal, computed with GGA-PBE.

Cell: 5.590 5.590 5.590 Å, 104.09 112.22 112.22°
Fractional positions:
O 0.438 0.960 0.875
O 0.562 0.437 0.521
Ba 0.500 0.750 0.250
Ag 0.000 0.500 0.500
O 0.085 0.125 0.563
O 0.915 0.479 0.040
Ba 0.000 0.000 0.000
Cu 0.500 0.250 0.750

Its space-group type is I-4. As for the total energy: -5.1794 eV/atom. The value obtained for the energy relative to the elements, uncorrected is -1.351 eV/atom.

---

5.
A relaxed ScSnPCl2 crystal, computed with GGA-PBE.

Cell: 4.789 5.447 4.789 Å, 90.00 90.00 90.00°
Fractional positions:
Cl 0.000 0.000 0.500
Sn 0.500 0.500 0.500
Cl 0.500 0.000 0.000
P 0.000 0.000 0.000
Sc 0.000 0.500 0.000

Its space-group type is P4/mmm. The value obtained for the polymorph energy (0 for the lowest one) is 732 meV per atom. As for the total energy: -3.9719 eV/atom. The value obtained for the energy relative to the elements, uncorrected is -0.084 eV/atom.

---

6.
A relaxed BiIBrO2 crystal, computed with GGA-PBE.

Cell: 4.284 4.284 7.185 Å, 90.00 90.00 90.00°
Fractional positions:
Bi 0.000 0.000 0.000
O 0.000 0.500 0.000
Br 0.500 0.500 0.500
O 0.500 0.000 0.000
I 0.000 0.000 0.500

Its space-group type is P4/mmm. The value obtained for the polymorph energy (0 for the lowest one) is 0 meV per atom. As for the total energy: -3.5803 eV/atom. The value obtained for the energy relative to the elements, uncorrected is -0.176 eV/atom.

---

7.
A relaxed NdTh2MoC4 crystal, computed with GGA-PBE.

Cell: 3.661 6.485 12.801 Å, 90.00 90.00 106.40°
Fractional positions:
C 0.000 0.000 0.500
C 0.735 0.470 0.868
Mo 0.167 0.334 0.250
Nd 0.102 0.205 0.750
Th 0.631 0.263 0.040
C 0.265 0.530 0.368
C 0.584 0.167 0.250
C 0.000 0.000 0.000
C 0.265 0.530 0.132
Th 0.369 0.737 0.960
Th 0.369 0.737 0.540
C 0.416 0.833 0.750
Mo 0.833 0.666 0.750
Th 0.631 0.263 0.460
Nd 0.898 0.795 0.250
C 0.735 0.470 0.632

Its space-group type is Cmcm. As for the total energy: -8.4596 eV/atom. The value obtained for the formation energy is -1.0 kcal/mol of atoms.

---

8.
A relaxed Sr2VPbCl8 crystal, computed with GGA-PBE.

Cell: 6.583 6.392 8.611 Å, 90.00 90.00 90.17°
Fractional positions:
Pb 0.000 0.000 0.500
Cl 0.155 0.789 0.782
Cl 0.155 0.789 0.218
Cl 0.303 0.247 0.000
Sr 0.500 0.500 0.763
Cl 0.348 0.270 0.500
Sr 0.500 0.500 0.237
Cl 0.845 0.211 0.782
V 0.000 0.000 0.000
Cl 0.845 0.211 0.218
Cl 0.697 0.753 0.000
Cl 0.652 0.730 0.500

Its space-group type is P2/m. As for the total energy: -4.3444 eV/atom. The value obtained for the energy relative to the elements, uncorrected is -1.764 eV/atom.